Compound: Li3Co2P5O16
Source: Alexandria
Functional: PBE+U
Structure: optimized geometry Values from VASP.

For the density of states at the Fermi level, the calculation gives 0.0 states/eV/cell. The calculation puts the final energy at -353.1 eV per cell. Its space-group type is P2/c, No. 13.

Structure (Quantum ESPRESSO input):
```
&SYSTEM
  ibrav = 0, nat = 52, ntyp = 4
/
ATOMIC_SPECIES
P 30.97 P.upf
O 16.00 O.upf
Li 6.94 Li.upf
Co 58.93 Co.upf
ATOMIC_POSITIONS crystal
P 0.000 0.246 0.250
P 0.262 0.466 0.376
P 0.227 0.873 0.414
P 0.738 0.534 0.624
P 0.773 0.127 0.586
P 0.738 0.466 0.124
P 0.227 0.127 0.914
P 0.000 0.754 0.750
P 0.773 0.873 0.086
P 0.262 0.534 0.876
O 0.557 0.449 0.392
O 0.810 0.315 0.641
O 0.822 0.135 0.299
O 0.382 0.798 0.482
O 0.178 0.135 0.201
O 0.914 0.626 0.568
O 0.190 0.685 0.359
O 0.618 0.017 0.131
O 0.178 0.865 0.701
O 0.822 0.865 0.799
O 0.914 0.374 0.068
O 0.618 0.798 0.018
O 0.382 0.983 0.869
O 0.190 0.315 0.859
O 0.060 0.922 0.071
O 0.940 0.078 0.929
O 0.618 0.202 0.518
O 0.443 0.551 0.608
O 0.193 0.387 0.295
O 0.810 0.685 0.141
O 0.086 0.374 0.432
O 0.618 0.983 0.631
O 0.086 0.626 0.932
O 0.557 0.551 0.892
O 0.807 0.613 0.705
O 0.382 0.202 0.982
O 0.940 0.922 0.429
O 0.443 0.449 0.108
O 0.060 0.078 0.571
O 0.382 0.017 0.369
O 0.193 0.613 0.795
O 0.807 0.387 0.205
Li 0.262 0.316 0.533
Li 0.500 0.019 0.250
Li 0.262 0.684 0.033
Li 0.738 0.316 0.967
Li 0.500 0.981 0.750
Li 0.738 0.684 0.467
Co 0.265 0.175 0.090
Co 0.735 0.175 0.410
Co 0.265 0.825 0.590
Co 0.735 0.825 0.910
CELL_PARAMETERS angstrom
-4.522 -1.967 1.119
1.851 -5.975 -3.025
7.299 -5.695 15.715
```